[1]
Entry from Alexandria: a relaxed structure of Er2Cu3Si4 (PBE).

Properties
ΔE_f (raw) = -444 meV per atom
DFT total energy = -94.2 eV for the cell shown
V = 15.8 A^3/atom

abc: 5.440 7.235 7.710
angles: 90.00 110.66 90.00
Atoms (fractional coordinates):
Er 0.108 0.596 0.217
Er 0.392 0.096 0.783
Er 0.892 0.404 0.783
Er 0.608 0.904 0.217
Cu 0.525 0.750 0.550
Cu 0.475 0.250 0.450
Cu 0.500 0.500 0.000
Cu 0.000 0.000 0.000
Cu 0.025 0.750 0.550
Cu 0.975 0.250 0.450
Si 0.679 0.519 0.358
Si 0.179 0.981 0.358
Si 0.321 0.481 0.642
Si 0.691 0.750 0.881
Si 0.191 0.750 0.881
Si 0.809 0.250 0.119
Si 0.309 0.250 0.119
Si 0.821 0.019 0.642

[2]
Entry from Alexandria: a relaxed structure of Er3Cu2Si3 (PBE).

Properties
ΔE_f (raw) = -672 meV per atom
DFT total energy = -87.1 eV for the cell shown
V = 18.4 A^3/atom

abc: 4.141 5.549 13.831
angles: 90.00 90.00 111.91
Last column: magnetic moment on the atom in μB.
Atoms (fractional coordinates):
Cu 0.210 0.421 0.090  0.02
Cu 0.210 0.421 0.410  0.02
Cu 0.790 0.579 0.590  0.02
Cu 0.790 0.579 0.910  0.02
Er 0.916 0.831 0.386  0.16
Er 0.084 0.169 0.886  0.16
Er 0.916 0.831 0.114  0.16
Er 0.084 0.169 0.614  0.16
Er 0.632 0.263 0.250  0.29
Er 0.368 0.737 0.750  0.29
Si 0.392 0.783 0.541  0.00
Si 0.333 0.667 0.250  -0.01
Si 0.608 0.217 0.459  0.00
Si 0.667 0.333 0.750  -0.01
Si 0.608 0.217 0.041  0.00
Si 0.392 0.783 0.959  0.00

Q: What is the ΔE_f (raw) in the first record?
A: -444 meV per atom

Copy entry 1 word for word.
Entry from Alexandria: a relaxed structure of Er2Cu3Si4 (PBE).

Properties
ΔE_f (raw) = -444 meV per atom
DFT total energy = -94.2 eV for the cell shown
V = 15.8 A^3/atom

abc: 5.440 7.235 7.710
angles: 90.00 110.66 90.00
Atoms (fractional coordinates):
Er 0.108 0.596 0.217
Er 0.392 0.096 0.783
Er 0.892 0.404 0.783
Er 0.608 0.904 0.217
Cu 0.525 0.750 0.550
Cu 0.475 0.250 0.450
Cu 0.500 0.500 0.000
Cu 0.000 0.000 0.000
Cu 0.025 0.750 0.550
Cu 0.975 0.250 0.450
Si 0.679 0.519 0.358
Si 0.179 0.981 0.358
Si 0.321 0.481 0.642
Si 0.691 0.750 0.881
Si 0.191 0.750 0.881
Si 0.809 0.250 0.119
Si 0.309 0.250 0.119
Si 0.821 0.019 0.642

Repeat the first record exactly.
Entry from Alexandria: a relaxed structure of Er2Cu3Si4 (PBE).

Properties
ΔE_f (raw) = -444 meV per atom
DFT total energy = -94.2 eV for the cell shown
V = 15.8 A^3/atom

abc: 5.440 7.235 7.710
angles: 90.00 110.66 90.00
Atoms (fractional coordinates):
Er 0.108 0.596 0.217
Er 0.392 0.096 0.783
Er 0.892 0.404 0.783
Er 0.608 0.904 0.217
Cu 0.525 0.750 0.550
Cu 0.475 0.250 0.450
Cu 0.500 0.500 0.000
Cu 0.000 0.000 0.000
Cu 0.025 0.750 0.550
Cu 0.975 0.250 0.450
Si 0.679 0.519 0.358
Si 0.179 0.981 0.358
Si 0.321 0.481 0.642
Si 0.691 0.750 0.881
Si 0.191 0.750 0.881
Si 0.809 0.250 0.119
Si 0.309 0.250 0.119
Si 0.821 0.019 0.642

Q: What is the DFT total energy in the first record?
A: -94.2 eV for the cell shown